1.
This record from the Alexandria database describes a geometry-optimized Ge2BS8 structure. The functional is PBE.

Calculated values
The space group is C2/m (12).

a = 7.713 Å, b = 7.713 Å, c = 7.448 Å
α = 114.45°, β = 114.45°, γ = 93.77°
Element x y z (fractional)
Ge1 0.220 0.220 0.072
Ge2 0.780 0.780 0.928
B1 0.000 0.000 0.500
S1 0.043 0.715 0.871
S2 0.195 0.195 0.720
S3 0.285 0.957 0.129
S4 0.487 0.487 0.347
S5 0.513 0.513 0.653
S6 0.715 0.043 0.871
S7 0.805 0.805 0.280
S8 0.957 0.285 0.129

---

2.
This record from the Alexandria database describes a geometry-optimized GeBS2 structure. The functional is PBE.

Calculated values
The space group is I-42d (122).

a = 5.734 Å, b = 5.734 Å, c = 5.734 Å
α = 119.09°, β = 119.09°, γ = 91.58°
Element x y z (fractional)
Ge1 0.000 0.000 0.000
Ge2 0.750 0.250 0.500
B1 0.250 0.750 0.500
B2 0.500 0.500 0.000
S1 0.232 0.625 0.107
S2 0.375 0.482 0.607
S3 0.518 0.125 0.893
S4 0.875 0.768 0.393

---

In states/eV/atom, the DOS at the Fermi energy values for the records above are, in order, 0.25 0.08.
In eV per atom, the ΔE_f (raw) values for the records above are, in order, -0.002 0.150.